DFT (PBE-GGA) results for crystalline Ba3As4Au4 at its relaxed geometry.

Lattice parameters (Å, degrees): 4.7716 4.6093 13.6679 80.28 80.03 90.00
Closest atoms and distances in Å follow each position.
Positions (direct):
As  0.4423  0.4509  0.0984  1 As 2.61, 2 Au 2.64
Au  0.4035  0.9023  0.1955  3 As 2.61-2.64
Au  0.5965  0.0977  0.8045  3 As 2.61-2.64
As  0.7425  0.1958  0.6083  5 Au 2.61-2.86
Ba  0.1541  0.6499  0.7001  8 Au 3.33-3.64, 6 As 3.40-3.67
Ba  0.8460  0.3501  0.2999  8 Au 3.33-3.64, 6 As 3.40-3.67
Au  0.7018  0.7455  0.5092  4 As 2.69-2.86
As  0.5577  0.5491  0.9016  1 As 2.61, 2 Au 2.64
As  0.2575  0.8042  0.3917  5 Au 2.61-2.86
Ba  0.0000  0.0000  0.0000  4 Au 3.52-3.53, 8 As 3.54-3.59
Au  0.2983  0.2546  0.4908  4 As 2.69-2.86

Values from the calculation:
**DFT formation energy**: -69.9 kJ per mole of atoms
**Calculated density**: 8537 kg/m³
**Volume**: 26.52 A^3/atom